Entry from Alexandria via LeMat-Bulk: an optimized crystal structure of SmTmPd (PBE).

Lattice parameters (Å, degrees): 7.078 4.900 8.912 90.00 90.00 90.00
Space group Pnma (No. 62)
Unique sites:
Sm 0.147 0.250 0.084
Tm 0.012 0.250 0.668
Pd 0.230 0.250 0.406

Calculated values
formation enthalpy at 0 K	-0.588	eV/atom
final energy	-64.6	eV per cell

Entry from Alexandria via LeMat-Bulk: an optimized crystal structure of ZnTcCl2 (PBE).

Lattice parameters (Å, degrees): 3.696 3.696 11.586 90.00 90.00 90.00
Space group I-4m2 (No. 119)
Unique sites:
Zn 0.000 0.000 0.000
Tc 0.000 0.500 0.250
Cl 0.000 0.000 0.500
Cl 0.000 0.500 0.750

Calculated values
final energy	-26.9	eV per cell
E_form (uncorrected)	181	kJ/mol of formula units

Entry from Alexandria via LeMat-Bulk: an optimized crystal structure of Mn2TlGa (PBE).

Lattice parameters (Å, degrees): 7.102 7.102 7.102 90.00 90.00 90.00
Space group Fm-3m (No. 225)
Unique sites:
Mn 0.250 0.250 0.250
Tl 0.000 0.000 0.000
Ga 0.000 0.000 0.500

Calculated values
formation enthalpy at 0 K	0.532	eV/atom
final energy	-86.4	eV per cell

Question: Look up the final energy of the second one.
Answer: -26.9 eV per cell